First-principles (PBE) data for a geometry-optimized IrRhAuI structure, as listed in Alexandria.

- DOS(E_F) (states/eV per cell) = 3.267
- polymorph energy (0 for the lowest one) (eV/atom) = 0.082
- calculated total energy (Ry/atom) = -0.3454
- magnetic moment (μB per atom) = 0.00
- formation energy from raw total energies (eV/atom) = 0.560

Lattice parameters (Å, degrees): 3.898 4.777 4.777 67.13 90.00 90.00
Fractional coordinates of all 4 atoms:
Ir 0.000 0.000 0.000
Rh 0.500 0.799 0.799
Au 0.500 0.240 0.240
I 0.000 0.562 0.562


First-principles (PBE) data for a geometry-optimized CaCd4Tc structure, as listed in Alexandria.

- DOS(E_F) (states/eV per cell) = 4.224
- calculated total energy (Ry/atom) = -0.1791
- magnetic moment (μB per atom) = 0.45
- E_form (eV/atom) = 0.234

Lattice parameters (Å, degrees): 5.711 5.711 5.711 60.00 60.00 60.00
Fractional coordinates of all 6 atoms:
Ca 0.000 0.000 0.000
Cd 0.128 0.624 0.624
Cd 0.624 0.128 0.624
Cd 0.624 0.624 0.128
Cd 0.624 0.624 0.624
Tc 0.250 0.250 0.250


First-principles (PBE) data for a geometry-optimized Sm2GaSi4Ni3 structure, as listed in Alexandria.

- DOS(E_F) (states/eV per cell) = 3.988
- calculated total energy (Ry/atom) = -0.4345
- magnetic moment (μB per atom) = 0.00
- formation energy from raw total energies (eV/atom) = -0.761

Lattice parameters (Å, degrees): 4.023 4.023 9.837 90.00 90.00 90.00
Fractional coordinates of all 10 atoms:
Sm 0.000 0.500 0.241
Sm 0.500 0.000 0.759
Ga 0.000 0.000 0.500
Si 0.000 0.000 0.000
Si 0.000 0.500 0.647
Si 0.500 0.000 0.353
Si 0.500 0.500 0.000
Ni 0.000 0.500 0.881
Ni 0.500 0.000 0.119
Ni 0.500 0.500 0.500


First-principles (PBE) data for a geometry-optimized Ba2YAsPb structure, as listed in Alexandria.

- DOS(E_F) (states/eV per cell) = 4.222
- calculated total energy (Ry/atom) = -0.2758
- magnetic moment (μB per atom) = 0.00
- E_form (eV/atom) = -0.019

Lattice parameters (Å, degrees): 6.226 6.226 5.744 90.00 90.00 90.00
Fractional coordinates of all 5 atoms:
Ba 0.000 0.500 0.000
Ba 0.500 0.000 0.000
Y 0.000 0.000 0.500
As 0.500 0.500 0.000
Pb 0.500 0.500 0.500